# 1
Density functional theory data (PBE-GGA) for a relaxed CsLiPaSe3 crystal.

Output
Volume, Å³/atom: 31.12
Final energy, eV/atom: -5.19
Size of the total moment, μB/f.u.: 1.00

Lattice parameters (Å, degrees): 8.1520 8.1520 11.0785 90.00 90.00 149.52
With the nearest neighbours (Å) after each atom.
Sites, in units of the cell vectors:
1 Cs 0.2391 0.7609 0.7500  8 Se 3.68-3.83, 2 Li 4.09
2 Cs 0.7609 0.2391 0.2500  8 Se 3.68-3.83, 2 Li 4.09
3 Li 0.0396 0.9604 0.2500  4 Se 2.55
4 Li 0.9604 0.0396 0.7500  4 Se 2.55
5 Pa 0.5000 0.5000 0.0000  6 Se 2.87-2.88
6 Pa 0.5000 0.5000 0.5000  6 Se 2.87-2.88
7 Se 0.1174 0.8826 0.0478  1 Li 2.55
8 Se 0.1174 0.8826 0.4522  1 Li 2.55
9 Se 0.4514 0.5486 0.2500  2 Li 2.55
10 Se 0.5486 0.4514 0.7500  2 Li 2.55
11 Se 0.8826 0.1174 0.5478  1 Li 2.55
12 Se 0.8826 0.1174 0.9522  1 Li 2.55

# 2
Density functional theory data (PBE-GGA) for a relaxed CsLiPdSe3 crystal.

Output
Volume, Å³/atom: 26.00
Final energy, eV/atom: -3.74

Lattice parameters (Å, degrees): 8.0220 8.0220 10.0522 90.00 90.00 151.17
With the nearest neighbours (Å) after each atom.
Sites, in units of the cell vectors:
1 Cs 0.2409 0.7591 0.7500  8 Se 3.61-3.71, 2 Li 3.91, 2 Cs 3.99
2 Cs 0.7591 0.2409 0.2500  8 Se 3.61-3.71, 2 Li 3.91, 2 Cs 3.99
3 Li 0.4756 0.5244 0.2500  4 Se 2.44-2.54
4 Li 0.5244 0.4756 0.7500  4 Se 2.44-2.54
5 Pd 0.0000 0.0000 0.0000  6 Se 2.57-2.71
6 Pd 0.0000 0.0000 0.5000  6 Se 2.57-2.71
7 Se 0.0654 0.9346 0.2500  2 Li 2.44, 2 Pd 2.71
8 Se 0.3976 0.6024 0.0284  1 Li 2.54, 2 Pd 2.57
9 Se 0.3976 0.6024 0.4716  1 Li 2.54, 2 Pd 2.57
10 Se 0.6024 0.3976 0.5284  1 Li 2.54, 2 Pd 2.57
11 Se 0.6024 0.3976 0.9716  1 Li 2.54, 2 Pd 2.57
12 Se 0.9346 0.0654 0.7500  2 Li 2.44, 2 Pd 2.71

# 3
Density functional theory data (PBE-GGA) for a relaxed CsLiTe3Pd crystal.

Output
Volume, Å³/atom: 31.30
Final energy, eV/atom: -3.48

Lattice parameters (Å, degrees): 8.6301 8.6301 10.8312 90.00 90.00 152.25
With the nearest neighbours (Å) after each atom.
Sites, in units of the cell vectors:
1 Cs 0.2388 0.7612 0.7500  8 Te 3.83-3.94, 2 Li 4.01, 2 Cs 4.14
2 Cs 0.7612 0.2388 0.2500  8 Te 3.83-3.94, 2 Li 4.01, 2 Cs 4.14
3 Li 0.4664 0.5336 0.2500  4 Te 2.69-2.76
4 Li 0.5336 0.4664 0.7500  4 Te 2.69-2.76
5 Te 0.0692 0.9308 0.2500  2 Li 2.69, 2 Pd 2.95
6 Te 0.3951 0.6049 0.0206  2 Pd 2.72, 1 Li 2.76
7 Te 0.3951 0.6049 0.4794  2 Pd 2.72, 1 Li 2.76
8 Te 0.6049 0.3951 0.5206  2 Pd 2.72, 1 Li 2.76
9 Te 0.6049 0.3951 0.9794  2 Pd 2.72, 1 Li 2.76
10 Te 0.9308 0.0692 0.7500  2 Li 2.69, 2 Pd 2.95
11 Pd 0.0000 0.0000 0.0000  6 Te 2.72-2.95
12 Pd 0.0000 0.0000 0.5000  6 Te 2.72-2.95

# 4
Density functional theory data (PBE-GGA) for a relaxed CsLiPm crystal.

Output
Volume, Å³/atom: 47.17
Final energy, eV/atom: -1.51
Size of the total moment, μB/f.u.: 1.25

Lattice parameters (Å, degrees): 5.8491 5.8491 5.8491 60.00 60.00 60.00
With the nearest neighbours (Å) after each atom.
Sites, in units of the cell vectors:
1 Cs 0.0000 0.0000 0.0000  4 Pm 3.58
2 Li 0.5000 0.5000 0.5000  4 Pm 3.58
3 Pm 0.2500 0.2500 0.2500  4 Li 3.58, 4 Cs 3.58

# 5
Density functional theory data (PBE-GGA) for a relaxed CsLiPm crystal.

Output
Volume, Å³/atom: 36.21
Final energy, eV/atom: -1.42
Size of the total moment, μB/f.u.: 0.16

Lattice parameters (Å, degrees): 5.3558 5.3558 5.3558 60.00 60.00 60.00
With the nearest neighbours (Å) after each atom.
Sites, in units of the cell vectors:
1 Cs 0.0000 0.0000 0.0000  4 Pm 3.28, 4 Li 3.28
2 Li 0.2500 0.2500 0.2500  4 Cs 3.28
3 Pm 0.7500 0.7500 0.7500  4 Cs 3.28

# 6
Density functional theory data (PBE-GGA) for a relaxed CsLiPrTe3 crystal.

Output
Volume, Å³/atom: 38.25
Final energy, eV/atom: -3.92
Size of the total moment, μB/f.u.: 0.01

Lattice parameters (Å, degrees): 8.4723 8.4723 12.2220 90.00 90.00 148.45
With the nearest neighbours (Å) after each atom.
Sites, in units of the cell vectors:
1 Cs 0.2388 0.7612 0.7500  8 Te 3.85-4.08, 2 Li 4.21
2 Cs 0.7612 0.2388 0.2500  8 Te 3.85-4.08, 2 Li 4.21
3 Li 0.0453 0.9547 0.2500  4 Te 2.78-2.80
4 Li 0.9547 0.0453 0.7500  4 Te 2.78-2.80
5 Pr 0.5000 0.5000 0.0000  6 Te 3.16-3.19
6 Pr 0.5000 0.5000 0.5000  6 Te 3.16-3.19
7 Te 0.1302 0.8698 0.0510  1 Li 2.80
8 Te 0.1302 0.8698 0.4490  1 Li 2.80
9 Te 0.4501 0.5499 0.2500  2 Li 2.78
10 Te 0.5499 0.4501 0.7500  2 Li 2.78
11 Te 0.8698 0.1302 0.5510  1 Li 2.80
12 Te 0.8698 0.1302 0.9490  1 Li 2.80

Q: volume of number 3 (CsLiTe3Pd)?
A: 31.30 Å³/atom